No. 1
This record from Alexandria describes a relaxed Tb2Nd4SmSc crystal. The functional is PBE-GGA.

abc: 5.0934 5.1156 10.0512
angles: 90.00 90.00 90.00
With the nearest neighbours (Å) after each atom.
Fractional coordinates of all 8 atoms:
1 Tb 0.0000 0.0000 0.0000  8 Nd 3.53-3.54, 4 Sc 3.61
2 Tb 0.5000 0.5000 0.5000  4 Sm 3.61, 8 Nd 3.62-3.63
3 Nd 0.0000 0.5000 0.2436  2 Sc 3.53, 4 Tb 3.54-3.62, 4 Nd 3.61, 2 Sm 3.63
4 Nd 0.0000 0.5000 0.7564  2 Sc 3.53, 4 Tb 3.54-3.62, 4 Nd 3.61, 2 Sm 3.63
5 Nd 0.5000 0.0000 0.2436  4 Tb 3.53-3.63, 2 Sc 3.54, 4 Nd 3.61, 2 Sm 3.62
6 Nd 0.5000 0.0000 0.7564  4 Tb 3.53-3.63, 2 Sc 3.54, 4 Nd 3.61, 2 Sm 3.62
7 Sm 0.0000 0.0000 0.5000  4 Tb 3.61, 8 Nd 3.62-3.63
8 Sc 0.5000 0.5000 0.0000  8 Nd 3.53-3.54, 4 Tb 3.61

Results
**Space group**: Pmmm
**Raw total energy**: -4.897 eV per atom

No. 2
This record from Alexandria describes a relaxed Tc2AuCl crystal. The functional is PBE-GGA.

abc: 2.7189 3.9378 5.9703
angles: 90.00 90.00 90.00
With the nearest neighbours (Å) after each atom.
Fractional coordinates of all 4 atoms:
1 Tc 0.0000 0.0000 0.2395  2 Cl 2.43, 2 Tc 2.72
2 Tc 0.0000 0.0000 0.7605  2 Cl 2.43, 2 Tc 2.72
3 Au 0.5000 0.5000 0.5000  2 Au 2.72, 8 Tc 2.85
4 Cl 0.0000 0.5000 0.0000  4 Tc 2.43, 2 Cl 2.72

Results
**Space group**: Pmmm
**Distance to the lowest polymorph of the same formula**: 2.21 eV per formula unit
**Raw total energy**: -5.825 eV per atom
**Formation energy without anion corrections**: 0.6387 eV/atom

Question: The lowest raw total energy belongs to which entry?
Answer: Tc2AuCl